Record 1
VASP calculation (PBE) on an optimized crystal structure of BaTi3S.

```
data_BaTi3S
_chemical_formula_sum 'Ba1 Ti3 S1'
_space_group_name_H-M_alt 'P 1'
_space_group_IT_number 1
_cell_length_a 4.9855
_cell_length_b 4.9855
_cell_length_c 4.9855
_cell_angle_alpha 90.00
_cell_angle_beta 90.00
_cell_angle_gamma 90.00
loop_
_space_group_symop_operation_xyz
'x,y,z'
loop_
_atom_site_label
_atom_site_fract_x
_atom_site_fract_y
_atom_site_fract_z
_atom_site_occupancy
Ti1 0.0000 0.0000 0.5000 1
Ti2 0.5000 0.0000 0.0000 1
Ti3 0.0000 0.5000 0.0000 1
S1 0.5000 0.5000 0.5000 1
Ba1 0.0000 0.0000 0.0000 1
```

Properties
ΔE to the lowest computed polymorph = 1.925 eV per atom
Formation energy from raw total energies = 1.926 eV per atom

Record 2
VASP calculation (PBE) on an optimized crystal structure of BaTi4S8.

```
data_BaTi4S8
_chemical_formula_sum 'Ba1 Ti4 S8'
_space_group_name_H-M_alt 'P 1'
_space_group_IT_number 1
_cell_length_a 7.5484
_cell_length_b 7.5484
_cell_length_c 7.5484
_cell_angle_alpha 60.00
_cell_angle_beta 60.00
_cell_angle_gamma 60.00
loop_
_space_group_symop_operation_xyz
'x,y,z'
loop_
_atom_site_label
_atom_site_fract_x
_atom_site_fract_y
_atom_site_fract_z
_atom_site_occupancy
Ti1 0.3661 0.9018 0.3661 1
Ti2 0.9018 0.3661 0.3661 1
Ti3 0.3661 0.3661 0.3661 1
Ti4 0.3661 0.3661 0.9018 1
S1 0.1360 0.5921 0.1360 1
S2 0.2023 0.5992 0.5992 1
S3 0.1360 0.1360 0.1360 1
S4 0.5992 0.5992 0.5992 1
S5 0.5992 0.2023 0.5992 1
S6 0.5921 0.1360 0.1360 1
S7 0.5992 0.5992 0.2023 1
S8 0.1360 0.1360 0.5921 1
Ba1 0.7500 0.7500 0.7500 1
```

Properties
ΔE to the lowest computed polymorph = 0.243 eV per atom
Formation energy from raw total energies = -1.266 eV per atom

Record 3
VASP calculation (PBE) on an optimized crystal structure of BaTiS2.

```
data_BaTiS2
_chemical_formula_sum 'Ba2 Ti2 S4'
_space_group_name_H-M_alt 'P 1'
_space_group_IT_number 1
_cell_length_a 6.2874
_cell_length_b 6.2874
_cell_length_c 7.5469
_cell_angle_alpha 65.38
_cell_angle_beta 65.38
_cell_angle_gamma 90.00
loop_
_space_group_symop_operation_xyz
'x,y,z'
loop_
_atom_site_label
_atom_site_fract_x
_atom_site_fract_y
_atom_site_fract_z
_atom_site_occupancy
S1 0.5308 0.1250 0.2500 1
S2 0.2192 0.6250 0.2500 1
S3 0.8750 0.7808 0.7500 1
S4 0.3750 0.4692 0.7500 1
Ti1 0.5000 0.5000 0.0000 1
Ti2 0.2500 0.7500 0.5000 1
Ba1 0.0000 0.0000 0.0000 1
Ba2 0.7500 0.2500 0.5000 1
```

Properties
ΔE to the lowest computed polymorph = 0.000 eV per atom
Formation energy from raw total energies = -1.323 eV per atom